The following is a DFT calculation (PBE-GGA) of K3PrDy2Te6 after structural relaxation.

```
data_K3PrDy2Te6
_chemical_formula_sum 'K3 Pr1 Dy2 Te6'
_symmetry_space_group_name_H-M 'P 1'
_symmetry_Int_Tables_number 1
_cell_length_a 7.876
_cell_length_b 7.876
_cell_length_c 8.661
_cell_angle_alpha 98.73
_cell_angle_beta 98.73
_cell_angle_gamma 120.01
loop_
_symmetry_equiv_pos_as_xyz
'x,y,z'
loop_
_atom_site_label
_atom_site_type_symbol
_atom_site_fract_x
_atom_site_fract_y
_atom_site_fract_z
K1 K 0.000 0.000 0.000
K2 K 0.336 0.664 0.000
K3 K 0.664 0.336 0.000
Pr1 Pr 0.500 0.500 0.500
Dy1 Dy 0.167 0.833 0.500
Dy2 Dy 0.833 0.167 0.500
Te1 Te 0.087 0.429 0.289
Te2 Te 0.228 0.228 0.710
Te3 Te 0.429 0.087 0.289
Te4 Te 0.571 0.913 0.711
Te5 Te 0.772 0.772 0.290
Te6 Te 0.913 0.571 0.711
```

Values from the calculation:
formation energy (no corrections)	-1.402	eV/atom
E	-4.41	eV/atom